## Tb5Pb4Se (PBE)

Data for crystalline Tb5Pb4Se at its relaxed geometry.

a b c (Å): 7.6075 7.6075 7.6075
angles (deg): 99.63 99.63 131.70
Closest atoms and distances in Å follow each position.
Fractional coordinates of all 10 atoms:
Tb1 0.0000 0.0000 0.0000  2 Se 3.11, 4 Pb 3.13
Tb2 0.2163 0.5977 0.8140  1 Se 2.95, 5 Pb 3.12-3.19
Tb3 0.4023 0.2163 0.6185  1 Se 2.95, 5 Pb 3.12-3.19
Tb4 0.5977 0.7837 0.3815  1 Se 2.95, 5 Pb 3.12-3.19
Tb5 0.7837 0.4023 0.1860  1 Se 2.95, 5 Pb 3.12-3.19
Pb1 0.0941 0.3046 0.3987  6 Tb 3.12-3.19
Pb2 0.3046 0.9059 0.2105  6 Tb 3.12-3.19
Pb3 0.6954 0.0941 0.7895  6 Tb 3.12-3.19
Pb4 0.9059 0.6954 0.6013  6 Tb 3.12-3.19
Se1 0.5000 0.5000 0.0000  6 Tb 2.95-3.11

DOS(E_F) ... 5.81 states/eV/f.u.
Space-group type ... I4/m
Density ... 9.42 g/cm³
Energy ... -4.8285 eV/atom